Entry 1:
Computed, not measured: an optimized crystal structure of KSi at the PBE-GGA level of DFT.

Summary:
Total magnetic moment: 0.000 μB/atom
Uncorrected energy: -3.000 eV/atom
Formation energy without anion corrections: 0.261 eV/atom

a = 7.0733 Å, b = 7.0733 Å, c = 6.7515 Å
α = 90.00°, β = 90.00°, γ = 90.00°
Closest atoms and distances in Å follow each position.
Positions (direct):
1 K 0.6774 0.3226 0.5000  4 Si 3.40-3.45, 1 K 3.55
2 Si 0.6073 0.3927 0.0000  1 Si 2.15
3 Si 0.1073 0.1073 0.5000  1 Si 2.15
4 Si 0.8927 0.8927 0.5000  1 Si 2.15
5 Si 0.3927 0.6073 0.0000  1 Si 2.15
6 K 0.8226 0.8226 0.0000  4 Si 3.40-3.45, 1 K 3.55
7 K 0.1774 0.1774 0.0000  4 Si 3.40-3.45, 1 K 3.55
8 K 0.3226 0.6774 0.5000  4 Si 3.40-3.45, 1 K 3.55

Entry 2:
Computed, not measured: an optimized crystal structure of Sc2Zn2Cu at the PBE-GGA level of DFT.

Summary:
Total magnetic moment: 0.000 μB/atom
Uncorrected energy: -4.129 eV/atom
DOS(E_F): 0.862 states/eV/atom
ΔE_f: -267 meV/atom

a = 3.4698 Å, b = 5.3950 Å, c = 10.3408 Å
α = 93.22°, β = 80.34°, γ = 71.24°
Closest atoms and distances in Å follow each position.
Positions (direct):
1 Sc 0.6563 0.3641 0.3233  3 Cu 2.83-2.89, 6 Zn 2.90-2.98
2 Zn 0.3610 0.1727 0.1052  1 Cu 2.54, 1 Zn 2.61, 1 Sc 2.79
3 Sc 0.3437 0.6359 0.6767  3 Cu 2.83-2.89, 6 Zn 2.90-2.98
4 Sc 0.9157 0.2797 0.8888  2 Cu 2.76, 5 Zn 2.79-2.91
5 Zn 0.1231 0.2157 0.5380  3 Cu 2.51-2.63
6 Zn 0.6390 0.8273 0.8948  1 Cu 2.54, 1 Zn 2.61, 1 Sc 2.79
7 Cu 0.3837 0.9251 0.3074  4 Zn 2.51-2.63, 2 Sc 2.76
8 Cu 0.6163 0.0749 0.6926  4 Zn 2.51-2.63, 2 Sc 2.76
9 Sc 0.0843 0.7203 0.1112  2 Cu 2.76, 5 Zn 2.79-2.91
10 Zn 0.8769 0.7843 0.4620  3 Cu 2.51-2.63

Entry 3:
Computed, not measured: an optimized crystal structure of TaAl2Pt at the PBE-GGA level of DFT.

Summary:
Total magnetic moment: 0.000 μB/atom
Uncorrected energy: -6.663 eV/atom
DOS(E_F): 0.515 states/eV/atom
ΔE_f: -318 meV/atom

a = 4.8572 Å, b = 4.8572 Å, c = 4.8572 Å
α = 131.10°, β = 131.10°, γ = 71.65°
Closest atoms and distances in Å follow each position.
Positions (direct):
1 Al 0.0000 0.0000 0.0000  4 Ta 2.81, 4 Pt 2.81, 4 Al 2.84
2 Pt 0.2500 0.7500 0.5000  8 Al 2.81, 4 Ta 2.84
3 Ta 0.7500 0.2500 0.5000  8 Al 2.81, 4 Pt 2.84
4 Al 0.5000 0.5000 0.0000  4 Pt 2.81, 4 Ta 2.81, 4 Al 2.84

Entry 4:
Computed, not measured: an optimized crystal structure of CeInSi2Pt5 at the PBE-GGA level of DFT.

Summary:
Total magnetic moment: 0.113 μB/atom
Uncorrected energy: -6.226 eV/atom
DOS(E_F): 1.194 states/eV/atom
Formation energy without anion corrections: -0.702 eV/atom

a = 4.0673 Å, b = 4.0673 Å, c = 11.0256 Å
α = 90.00°, β = 90.00°, γ = 90.00°
Closest atoms and distances in Å follow each position.
Positions (direct):
1 Ce 0.0000 0.0000 0.5000  4 Pt 2.88
2 Si 0.5000 0.5000 0.7140  5 Pt 2.36-2.37
3 Pt 0.5000 0.0000 0.1763  2 Si 2.37
4 Pt 0.5000 0.0000 0.8237  2 Si 2.37
5 Pt 0.0000 0.5000 0.1763  2 Si 2.37
6 In 0.0000 0.0000 0.0000  8 Pt 2.81
7 Pt 0.5000 0.5000 0.5000  2 Si 2.36
8 Pt 0.0000 0.5000 0.8237  2 Si 2.37
9 Si 0.5000 0.5000 0.2860  5 Pt 2.36-2.37